[1]
# PBEsol ZrSeBr2Cl, optimized geometry
data_ZrSeBr2Cl
_chemical_formula_sum 'Zr1 Se1 Br2 Cl1'
_cell_length_a 5.177
_cell_length_b 5.177
_cell_length_c 5.194
_cell_angle_alpha 90.00
_cell_angle_beta 90.00
_cell_angle_gamma 90.00
_symmetry_space_group_name_H-M 'P 4/m m m'
_symmetry_Int_Tables_number 123
_symmetry_space_group_name_Hall '-P 4 2'
loop_
_atom_site_label
_atom_site_type_symbol
_atom_site_fract_x
_atom_site_fract_y
_atom_site_fract_z
Zr1 Zr 0.000 0.000 0.000
Se1 Se 0.000 0.000 0.500
Br1 Br 0.000 0.500 0.000
Cl1 Cl 0.500 0.500 0.500
# V = 139 Å³ per cell
# VASP energy = -22.1 eV per cell



[2]
# PBEsol Si3BrCl, optimized geometry
data_Si3BrCl
_chemical_formula_sum 'Si3 Br1 Cl1'
_cell_length_a 5.057
_cell_length_b 5.057
_cell_length_c 5.057
_cell_angle_alpha 90.00
_cell_angle_beta 90.00
_cell_angle_gamma 90.00
_symmetry_space_group_name_H-M 'P m -3 m'
_symmetry_Int_Tables_number 221
_symmetry_space_group_name_Hall '-P 4 2 3'
loop_
_atom_site_label
_atom_site_type_symbol
_atom_site_fract_x
_atom_site_fract_y
_atom_site_fract_z
Si1 Si 0.000 0.000 0.500
Br1 Br 0.000 0.000 0.000
Cl1 Cl 0.500 0.500 0.500
# V = 129 Å³ per cell
# VASP energy = -14.4 eV per cell



[3]
# PBEsol SnBrCl2, optimized geometry
data_SnBrCl2
_chemical_formula_sum 'Sn3 Br3 Cl6'
_cell_length_a 3.2502
_cell_length_b 3.2502
_cell_length_c 33.4150
_cell_angle_alpha 90.00
_cell_angle_beta 90.00
_cell_angle_gamma 120.00
_symmetry_space_group_name_H-M 'R -3 m'
_symmetry_Int_Tables_number 166
_symmetry_space_group_name_Hall '-R 3 2"'
loop_
_atom_site_label
_atom_site_type_symbol
_atom_site_fract_x
_atom_site_fract_y
_atom_site_fract_z
Sn1 Sn 0.0000 0.0000 0.0000
Br1 Br 0.0000 0.0000 0.5000
Cl1 Cl 0.0000 0.0000 0.0705
# V = 306 Å³ per cell
# VASP energy = -31.4 eV per cell



[4]
# PBEsol SnBrCl3, optimized geometry
data_SnBrCl3
_chemical_formula_sum 'Sn1 Br1 Cl3'
_cell_length_a 5.194
_cell_length_b 5.194
_cell_length_c 5.194
_cell_angle_alpha 90.00
_cell_angle_beta 90.00
_cell_angle_gamma 90.00
_symmetry_space_group_name_H-M 'P m -3 m'
_symmetry_Int_Tables_number 221
_symmetry_space_group_name_Hall '-P 4 2 3'
loop_
_atom_site_label
_atom_site_type_symbol
_atom_site_fract_x
_atom_site_fract_y
_atom_site_fract_z
Sn1 Sn 0.000 0.000 0.000
Br1 Br 0.500 0.500 0.500
Cl1 Cl 0.000 0.500 0.500
# V = 140 Å³ per cell
# VASP energy = -11.3 eV per cell



[5]
# PBEsol SrBr2Cl, optimized geometry
data_SrBr2Cl
_chemical_formula_sum 'Sr4 Br8 Cl4'
_cell_length_a 7.494
_cell_length_b 7.494
_cell_length_c 7.494
_cell_angle_alpha 90.00
_cell_angle_beta 90.00
_cell_angle_gamma 90.00
_symmetry_space_group_name_H-M 'F -4 3 m'
_symmetry_Int_Tables_number 216
_symmetry_space_group_name_Hall 'F -4 2 3'
loop_
_atom_site_label
_atom_site_type_symbol
_atom_site_fract_x
_atom_site_fract_y
_atom_site_fract_z
Sr1 Sr 0.000 0.000 0.000
Br1 Br 0.000 0.000 0.500
Br2 Br 0.250 0.250 0.750
Cl1 Cl 0.250 0.250 0.250
# Excess energy over the best structure of this formula in the dataset = 166.5 meV/atom
# V = 421 Å³ per cell
# VASP energy = -52.1 eV per cell



[6]
# PBEsol Sr5Br8Cl2, optimized geometry
data_Sr5Br8Cl2
_chemical_formula_sum 'Sr10 Br16 Cl4'
_cell_length_a 11.365
_cell_length_b 11.365
_cell_length_c 6.939
_cell_angle_alpha 90.00
_cell_angle_beta 90.00
_cell_angle_gamma 90.00
_symmetry_space_group_name_H-M 'P 4/n'
_symmetry_Int_Tables_number 85
loop_
_symmetry_equiv_pos_as_xyz
'x,y,z'
'-x,-y,-z'
'-y+1/2,x,z'
'y+1/2,-x,-z'
'-x+1/2,-y+1/2,z'
'x+1/2,y+1/2,-z'
'y,-x+1/2,z'
'-y,x+1/2,-z'
loop_
_atom_site_label
_atom_site_type_symbol
_atom_site_fract_x
_atom_site_fract_y
_atom_site_fract_z
Sr1 Sr 0.096 0.894 0.249
Sr2 Sr 0.250 0.250 0.137
Br1 Br 0.036 0.159 0.371
Br2 Br 0.040 0.340 0.890
Cl1 Cl 0.250 0.750 0.000
Cl2 Cl 0.250 0.750 0.500
# V = 896 Å³ per cell
# VASP energy = -122.6 eV per cell



[7]
# PBEsol SrBr2Cl, optimized geometry
data_SrBr2Cl
_chemical_formula_sum 'Sr3 Br6 Cl3'
_cell_length_a 4.7326
_cell_length_b 4.7326
_cell_length_c 25.2551
_cell_angle_alpha 90.00
_cell_angle_beta 90.00
_cell_angle_gamma 120.00
_symmetry_space_group_name_H-M 'R -3 m'
_symmetry_Int_Tables_number 166
_symmetry_space_group_name_Hall '-R 3 2"'
loop_
_atom_site_label
_atom_site_type_symbol
_atom_site_fract_x
_atom_site_fract_y
_atom_site_fract_z
Sr1 Sr 0.0000 0.0000 0.0000
Br1 Br 0.0000 0.0000 0.3876
Cl1 Cl 0.0000 0.0000 0.5000
# Excess energy over the best structure of this formula in the dataset = 235.4 meV/atom
# V = 490 Å³ per cell
# VASP energy = -38.2 eV per cell



[8]
# PBEsol SrBr4Cl, optimized geometry
data_SrBr4Cl
_chemical_formula_sum 'Sr4 Br16 Cl4'
_cell_length_a 8.585
_cell_length_b 8.585
_cell_length_c 8.585
_cell_angle_alpha 90.00
_cell_angle_beta 90.00
_cell_angle_gamma 90.00
_symmetry_space_group_name_H-M 'F -4 3 m'
_symmetry_Int_Tables_number 216
_symmetry_space_group_name_Hall 'F -4 2 3'
loop_
_atom_site_label
_atom_site_type_symbol
_atom_site_fract_x
_atom_site_fract_y
_atom_site_fract_z
Sr1 Sr 0.000 0.000 0.000
Br1 Br 0.125 0.125 0.625
Cl1 Cl 0.250 0.250 0.250
# V = 633 Å³ per cell
# VASP energy = -60.2 eV per cell



[9]
# PBEsol SrBr2Cl, optimized geometry
data_SrBr2Cl
_chemical_formula_sum 'Sr1 Br2 Cl1'
_cell_length_a 5.178
_cell_length_b 5.294
_cell_length_c 5.355
_cell_angle_alpha 90.00
_cell_angle_beta 117.51
_cell_angle_gamma 90.00
_symmetry_space_group_name_H-M 'P 1 m 1'
_symmetry_Int_Tables_number 6
loop_
_symmetry_equiv_pos_as_xyz
'x,y,z'
'x,-y,z'
loop_
_atom_site_label
_atom_site_type_symbol
_atom_site_fract_x
_atom_site_fract_y
_atom_site_fract_z
Sr1 Sr 0.000 0.000 0.000
Br1 Br 0.176 0.500 0.790
Br2 Br 0.663 0.000 0.346
Cl1 Cl 0.142 0.500 0.279
# Excess energy over the best structure of this formula in the dataset = 0.0 meV/atom
# V = 130 Å³ per cell
# VASP energy = -13.7 eV per cell



[10]
# PBEsol SrBr2Cl, optimized geometry
data_SrBr2Cl
_chemical_formula_sum 'Sr3 Br6 Cl3'
_cell_length_a 5.5027
_cell_length_b 5.5027
_cell_length_c 12.1882
_cell_angle_alpha 90.00
_cell_angle_beta 90.00
_cell_angle_gamma 120.00
_symmetry_space_group_name_H-M 'R -3 m'
_symmetry_Int_Tables_number 166
_symmetry_space_group_name_Hall '-R 3 2"'
loop_
_atom_site_label
_atom_site_type_symbol
_atom_site_fract_x
_atom_site_fract_y
_atom_site_fract_z
Sr1 Sr 0.0000 0.0000 0.0000
Br1 Br 0.0000 0.0000 0.2664
Cl1 Cl 0.0000 0.0000 0.5000
# Excess energy over the best structure of this formula in the dataset = 155.1 meV/atom
# V = 320 Å³ per cell
# VASP energy = -39.2 eV per cell



[11]
# PBEsol SrBr2Cl, optimized geometry
data_SrBr2Cl
_chemical_formula_sum 'Sr4 Br8 Cl4'
_cell_length_a 4.370
_cell_length_b 4.370
_cell_length_c 23.349
_cell_angle_alpha 90.00
_cell_angle_beta 90.00
_cell_angle_gamma 90.00
_symmetry_space_group_name_H-M 'I -4 2 d'
_symmetry_Int_Tables_number 122
_symmetry_space_group_name_Hall 'I -4 2bw'
loop_
_atom_site_label
_atom_site_type_symbol
_atom_site_fract_x
_atom_site_fract_y
_atom_site_fract_z
Sr1 Sr 0.000 0.000 0.000
Br1 Br 0.242 0.250 0.125
Cl1 Cl 0.000 0.000 0.500
# Excess energy over the best structure of this formula in the dataset = 143.3 meV/atom
# V = 446 Å³ per cell
# VASP energy = -52.4 eV per cell



[12]
# PBEsol TaBr2Cl, optimized geometry
data_TaBr2Cl
_chemical_formula_sum 'Ta1 Br2 Cl1'
_cell_length_a 4.857
_cell_length_b 4.857
_cell_length_c 3.269
_cell_angle_alpha 90.00
_cell_angle_beta 90.00
_cell_angle_gamma 90.00
_symmetry_space_group_name_H-M 'P 4/m m m'
_symmetry_Int_Tables_number 123
_symmetry_space_group_name_Hall '-P 4 2'
loop_
_atom_site_label
_atom_site_type_symbol
_atom_site_fract_x
_atom_site_fract_y
_atom_site_fract_z
Ta1 Ta 0.000 0.000 0.000
Br1 Br 0.000 0.500 0.500
Cl1 Cl 0.500 0.500 0.000
# Excess energy over the best structure of this formula in the dataset = 1005.8 meV/atom
# V = 77 Å³ per cell
# VASP energy = -16.3 eV per cell



[13]
# PBEsol Ta2BrCl, optimized geometry
data_Ta2BrCl
_chemical_formula_sum 'Ta2 Br1 Cl1'
_cell_length_a 3.514
_cell_length_b 4.364
_cell_length_c 4.815
_cell_angle_alpha 90.00
_cell_angle_beta 90.49
_cell_angle_gamma 90.00
_symmetry_space_group_name_H-M 'P 1 2/m 1'
_symmetry_Int_Tables_number 10
loop_
_symmetry_equiv_pos_as_xyz
'x,y,z'
'-x,-y,-z'
'-x,y,-z'
'x,-y,z'
loop_
_atom_site_label
_atom_site_type_symbol
_atom_site_fract_x
_atom_site_fract_y
_atom_site_fract_z
Ta1 Ta 0.239 0.000 0.281
Br1 Br 0.000 0.500 0.000
Cl1 Cl 0.500 0.500 0.500
# Excess energy over the best structure of this formula in the dataset = 109.3 meV/atom
# V = 74 Å³ per cell
# VASP energy = -27.5 eV per cell



[14]
# PBEsol TaBr2Cl, optimized geometry
data_TaBr2Cl
_chemical_formula_sum 'Ta1 Br2 Cl1'
_cell_length_a 3.141
_cell_length_b 3.141
_cell_length_c 8.087
_cell_angle_alpha 90.00
_cell_angle_beta 90.00
_cell_angle_gamma 90.00
_symmetry_space_group_name_H-M 'P 4/m m m'
_symmetry_Int_Tables_number 123
_symmetry_space_group_name_Hall '-P 4 2'
loop_
_atom_site_label
_atom_site_type_symbol
_atom_site_fract_x
_atom_site_fract_y
_atom_site_fract_z
Ta1 Ta 0.000 0.000 0.000
Br1 Br 0.500 0.500 0.199
Cl1 Cl 0.000 0.000 0.500
# Excess energy over the best structure of this formula in the dataset = 264.9 meV/atom
# V = 80 Å³ per cell
# VASP energy = -19.2 eV per cell



[15]
# PBEsol TaBr2Cl, optimized geometry
data_TaBr2Cl
_chemical_formula_sum 'Ta2 Br4 Cl2'
_cell_length_a 3.129
_cell_length_b 4.557
_cell_length_c 13.936
_cell_angle_alpha 90.00
_cell_angle_beta 90.00
_cell_angle_gamma 90.00
_symmetry_space_group_name_H-M 'I m m m'
_symmetry_Int_Tables_number 71
_symmetry_space_group_name_Hall '-I 2 2'
loop_
_atom_site_label
_atom_site_type_symbol
_atom_site_fract_x
_atom_site_fract_y
_atom_site_fract_z
Ta1 Ta 0.000 0.000 0.000
Br1 Br 0.000 0.500 0.349
Cl1 Cl 0.000 0.000 0.500
# Excess energy over the best structure of this formula in the dataset = 7.5 meV/atom
# V = 199 Å³ per cell
# VASP energy = -40.5 eV per cell



[16]
# PBEsol TaBrCl3, optimized geometry
data_TaBrCl3
_chemical_formula_sum 'Ta1 Br1 Cl3'
_cell_length_a 4.764
_cell_length_b 4.764
_cell_length_c 4.764
_cell_angle_alpha 90.00
_cell_angle_beta 90.00
_cell_angle_gamma 90.00
_symmetry_space_group_name_H-M 'P m -3 m'
_symmetry_Int_Tables_number 221
_symmetry_space_group_name_Hall '-P 4 2 3'
loop_
_atom_site_label
_atom_site_type_symbol
_atom_site_fract_x
_atom_site_fract_y
_atom_site_fract_z
Ta1 Ta 0.000 0.000 0.000
Br1 Br 0.500 0.500 0.500
Cl1 Cl 0.000 0.000 0.500
# V = 108 Å³ per cell
# VASP energy = -23.5 eV per cell



[17]
# PBEsol TaBr2Cl, optimized geometry
data_TaBr2Cl
_chemical_formula_sum 'Ta4 Br8 Cl4'
_cell_length_a 9.346
_cell_length_b 9.346
_cell_length_c 4.786
_cell_angle_alpha 90.00
_cell_angle_beta 90.00
_cell_angle_gamma 90.00
_symmetry_space_group_name_H-M 'I -4 2 d'
_symmetry_Int_Tables_number 122
_symmetry_space_group_name_Hall 'I -4 2bw'
loop_
_atom_site_label
_atom_site_type_symbol
_atom_site_fract_x
_atom_site_fract_y
_atom_site_fract_z
Ta1 Ta 0.000 0.000 0.000
Br1 Br 0.108 0.250 0.125
Cl1 Cl 0.000 0.000 0.500
# Excess energy over the best structure of this formula in the dataset = 0.0 meV/atom
# V = 418 Å³ per cell
# VASP energy = -81.1 eV per cell



[18]
# PBEsol Ta2BrCl, optimized geometry
data_Ta2BrCl
_chemical_formula_sum 'Ta4 Br2 Cl2'
_cell_length_a 8.804
_cell_length_b 3.019
_cell_length_c 5.224
_cell_angle_alpha 90.00
_cell_angle_beta 101.68
_cell_angle_gamma 90.00
_symmetry_space_group_name_H-M 'C 1 2/m 1'
_symmetry_Int_Tables_number 12
loop_
_symmetry_equiv_pos_as_xyz
'x,y,z'
'-x,-y,-z'
'-x,y,-z'
'x,-y,z'
'x+1/2,y+1/2,z'
'-x+1/2,-y+1/2,-z'
'-x+1/2,y+1/2,-z'
'x+1/2,-y+1/2,z'
loop_
_atom_site_label
_atom_site_type_symbol
_atom_site_fract_x
_atom_site_fract_y
_atom_site_fract_z
Ta1 Ta 0.245 0.000 0.245
Br1 Br 0.000 0.000 0.500
Cl1 Cl 0.000 0.500 0.000
# Excess energy over the best structure of this formula in the dataset = 0.0 meV/atom
# V = 136 Å³ per cell
# VASP energy = -55.8 eV per cell



[19]
# PBEsol Ta2BrCl, optimized geometry
data_Ta2BrCl
_chemical_formula_sum 'Ta8 Br4 Cl4'
_cell_length_a 4.216
_cell_length_b 4.216
_cell_length_c 16.736
_cell_angle_alpha 90.00
_cell_angle_beta 90.00
_cell_angle_gamma 90.00
_symmetry_space_group_name_H-M 'I -4 2 d'
_symmetry_Int_Tables_number 122
_symmetry_space_group_name_Hall 'I -4 2bw'
loop_
_atom_site_label
_atom_site_type_symbol
_atom_site_fract_x
_atom_site_fract_y
_atom_site_fract_z
Ta1 Ta 0.237 0.250 0.125
Br1 Br 0.000 0.000 0.500
Cl1 Cl 0.000 0.000 0.000
# Excess energy over the best structure of this formula in the dataset = 26.4 meV/atom
# V = 297 Å³ per cell
# VASP energy = -111.2 eV per cell



[20]
# PBEsol Ta2BrCl, optimized geometry
data_Ta2BrCl
_chemical_formula_sum 'Ta2 Br1 Cl1'
_cell_length_a 3.276
_cell_length_b 3.276
_cell_length_c 6.226
_cell_angle_alpha 90.00
_cell_angle_beta 90.00
_cell_angle_gamma 90.00
_symmetry_space_group_name_H-M 'P 4/m m m'
_symmetry_Int_Tables_number 123
_symmetry_space_group_name_Hall '-P 4 2'
loop_
_atom_site_label
_atom_site_type_symbol
_atom_site_fract_x
_atom_site_fract_y
_atom_site_fract_z
Ta1 Ta 0.000 0.000 0.210
Br1 Br 0.500 0.500 0.500
Cl1 Cl 0.500 0.500 0.000
# Excess energy over the best structure of this formula in the dataset = 483.2 meV/atom
# V = 67 Å³ per cell
# VASP energy = -26.0 eV per cell



no.,uncorrected formation energy (eV per atom)
1,-0.68
2,1.35
3,-0.08
4,0.17
5,-1.36
6,-2.21
7,-1.29
8,-0.62
9,-1.52
10,-1.37
11,-1.38
12,0.51
13,0.38
14,-0.23
15,-0.49
16,-0.60
17,-0.50
18,0.27
19,0.29
20,0.75